Computed, not measured: a geometry-optimized Li2MnAl2O6 structure at the GGA+U level of DFT.

Unit cell a=4.9207 b=4.9207 c=10.1534 alpha=90.00 beta=90.00 gamma=60.66
Element x y z (fractional)
Li 0.1483 0.3517 0.2500
Li 0.3517 0.1483 0.7500
Li 0.6483 0.8517 0.2500
Li 0.8517 0.6483 0.7500
Mn 0.0000 0.0000 0.0000
Mn 0.5000 0.5000 0.5000
Al 0.1634 0.1634 0.5000
Al 0.3366 0.3366 0.0000
Al 0.6634 0.6634 0.0000
Al 0.8366 0.8366 0.5000
O 0.0105 0.3348 0.8982
O 0.1652 0.4895 0.6018
O 0.1677 0.8323 0.4048
O 0.3323 0.6677 0.9048
O 0.3348 0.0105 0.1018
O 0.4895 0.1652 0.3982
O 0.5105 0.8348 0.6018
O 0.6652 0.9895 0.8982
O 0.6677 0.3323 0.0952
O 0.8323 0.1677 0.5952
O 0.8348 0.5105 0.3982
O 0.9895 0.6652 0.1018

As for the mass density: 3.39 Mg/m³. The value obtained for the total energy is -147.54 eV for the cell shown. The density of states at the Fermi level comes out at 0.0 states/eV/cell.